1.
Computed, not measured: an optimized crystal structure of BeV3Pd at the GGA-PBE level of DFT.

Calculated values
Fermi-level density of states: 7.16 states/eV/f.u.
Excess energy over the best structure of this formula in the dataset: 1047.3 meV per atom

Structure (POSCAR):
```
BeV3Pd
1.0
-3.602 1.527 2.364
-2.690 -2.995 -2.165
0.826 -3.097 3.258
V Be Pd
3 1 1
Direct
0.000 0.500 0.000
0.000 0.000 0.500
0.500 0.000 0.000
0.500 0.500 0.500
0.000 0.000 0.000
```

***

2.
Computed, not measured: an optimized crystal structure of Be2VPd3 at the GGA-PBE level of DFT.

Calculated values
Fermi-level density of states: 1.85 states/eV/f.u.
E_tot: -5.825 eV/atom

Structure (POSCAR):
```
Be2VPd3
1.0
2.760 0.000 0.000
0.000 2.760 0.000
0.000 0.000 9.663
Pd V Be
3 1 2
Direct
0.000 0.000 0.700
0.000 0.000 0.000
0.000 0.000 0.300
0.500 0.500 0.500
0.500 0.500 0.154
0.500 0.500 0.846
```

***

3.
Computed, not measured: an optimized crystal structure of Be2V2Pd at the GGA-PBE level of DFT.

Calculated values
Fermi-level density of states: 3.11 states/eV/f.u.
Excess energy over the best structure of this formula in the dataset: 268.3 meV per atom

Structure (POSCAR):
```
Be2V2Pd
1.0
-2.598 0.189 2.099
2.073 -0.369 2.600
0.348 5.267 2.623
Pd V Be
1 2 2
Direct
0.000 0.000 0.000
0.250 0.750 0.500
0.750 0.250 0.500
0.409 0.409 0.182
0.591 0.591 0.818
```

***

4.
Computed, not measured: an optimized crystal structure of BeV2PdW at the GGA-PBE level of DFT.

Calculated values
Fermi-level density of states: 6.93 states/eV/f.u.
E_tot: -6.418 eV/atom

Structure (POSCAR):
```
BeV2PdW
1.0
4.496 0.000 0.000
0.000 4.895 0.000
0.000 0.000 4.496
V Be Pd W
2 1 1 1
Direct
0.500 0.000 0.000
0.000 0.000 0.500
0.500 0.500 0.500
0.000 0.500 0.000
0.000 0.000 0.000
```

***

5.
Computed, not measured: an optimized crystal structure of Be3PdW at the GGA-PBE level of DFT.

Calculated values
Fermi-level density of states: 0.80 states/eV/f.u.
Excess energy over the best structure of this formula in the dataset: 593.9 meV per atom

Structure (POSCAR):
```
Be3PdW
1.0
4.246 0.000 0.000
0.000 4.246 0.000
0.000 0.000 4.246
Pd Be W
1 3 1
Direct
0.500 0.500 0.500
0.000 0.500 0.000
0.000 0.000 0.500
0.500 0.000 0.000
0.000 0.000 0.000
```

***

6.
Computed, not measured: an optimized crystal structure of Be3PdW at the GGA-PBE level of DFT.

Calculated values
Fermi-level density of states: 1.80 states/eV/f.u.
Excess energy over the best structure of this formula in the dataset: 0.0 meV per atom

Structure (POSCAR):
```
Be3PdW
1.0
-0.591 1.175 3.811
3.522 -1.653 1.056
1.871 3.484 -0.784
W Be Pd
1 3 1
Direct
0.500 0.500 0.500
0.500 0.000 0.000
0.000 0.000 0.500
0.000 0.500 0.000
0.000 0.000 0.000
```

***

7.
Computed, not measured: an optimized crystal structure of Be2PdW at the GGA-PBE level of DFT.

Calculated values
Fermi-level density of states: 2.42 states/eV/f.u.
Excess energy over the best structure of this formula in the dataset: 0.0 meV per atom

Structure (POSCAR):
```
Be2PdW
1.0
0.000 2.881 2.881
2.881 0.000 2.881
2.881 2.881 0.000
Be Pd W
2 1 1
Direct
0.250 0.250 0.250
0.750 0.750 0.750
0.000 0.000 0.000
0.500 0.500 0.500
```

***

8.
Computed, not measured: an optimized crystal structure of Be2PdW at the GGA-PBE level of DFT.

Calculated values
Fermi-level density of states: 1.01 states/eV/f.u.
Excess energy over the best structure of this formula in the dataset: 208.2 meV per atom

Structure (POSCAR):
```
Be2PdW
1.0
6.140 0.000 0.000
0.000 6.140 0.000
3.070 3.070 2.683
Pd W Be
2 2 4
Direct
0.500 0.500 0.000
0.250 0.750 0.500
0.750 0.250 0.500
0.000 0.000 0.000
0.375 0.394 0.750
0.144 0.625 0.250
0.606 0.125 0.250
0.875 0.856 0.750
```

***

9.
Computed, not measured: an optimized crystal structure of Be2Pd2W at the GGA-PBE level of DFT.

Calculated values
Fermi-level density of states: 2.44 states/eV/f.u.
E_tot: -6.335 eV/atom

Structure (POSCAR):
```
Be2Pd2W
1.0
-5.281 -3.044 2.899
0.496 -5.074 -4.423
1.686 -1.312 1.694
Be Pd W
4 4 2
Direct
0.127 0.373 0.000
0.373 0.873 0.000
0.873 0.627 0.000
0.627 0.127 0.000
0.668 0.832 0.500
0.332 0.168 0.500
0.832 0.332 0.500
0.168 0.668 0.500
0.000 0.000 0.000
0.500 0.500 0.000
```

***

10.
Computed, not measured: an optimized crystal structure of YBe2Pd7 at the GGA-PBE level of DFT.

Calculated values
Fermi-level density of states: 3.72 states/eV/f.u.
E_tot: -5.331 eV/atom

Structure (POSCAR):
```
YBe2Pd7
1.0
-2.843 0.211 -3.173
3.691 -4.075 -3.579
-4.398 -3.123 3.733
Pd Be Y
7 2 1
Direct
0.500 0.500 0.500
0.000 0.329 0.671
0.500 0.939 0.677
0.500 0.323 0.061
0.500 0.677 0.939
0.000 0.671 0.329
0.500 0.061 0.323
0.500 0.711 0.289
0.500 0.289 0.711
0.000 0.000 0.000
```

***

11.
Computed, not measured: an optimized crystal structure of YBePd6 at the GGA-PBE level of DFT.

Calculated values
Fermi-level density of states: 3.09 states/eV/f.u.
E_tot: -5.513 eV/atom

Structure (POSCAR):
```
YBePd6
1.0
-2.524 0.081 4.853
4.224 -3.461 0.335
1.976 5.008 -0.976
Pd Be Y
6 1 1
Direct
0.760 0.760 0.317
0.240 0.683 0.240
0.683 0.240 0.240
0.760 0.317 0.760
0.317 0.760 0.760
0.240 0.240 0.683
0.500 0.500 0.500
0.000 0.000 0.000
```

***

12.
Computed, not measured: an optimized crystal structure of YBe2Pd2 at the GGA-PBE level of DFT.

Calculated values
Fermi-level density of states: 3.54 states/eV/f.u.
Excess energy over the best structure of this formula in the dataset: 252.8 meV per atom

Structure (POSCAR):
```
YBe2Pd2
1.0
7.180 0.000 0.000
0.000 7.180 0.000
0.000 0.000 2.937
Y Be Pd
2 4 4
Direct
0.500 0.500 0.000
0.000 0.000 0.000
0.368 0.132 0.500
0.632 0.868 0.500
0.132 0.632 0.500
0.868 0.368 0.500
0.143 0.357 0.000
0.857 0.643 0.000
0.643 0.143 0.000
0.357 0.857 0.000
```